InRh3PbS2: optimized geometry, PBE-GGA.

Cell and atoms, written as CIF:
```
data_InRh3PbS2
_symmetry_space_group_name_H-M 'R -3 m'
_symmetry_Int_Tables_number 166
_symmetry_space_group_name_Hall '-R 3 2"'
_cell_length_a 5.7250
_cell_length_b 5.7250
_cell_length_c 13.9493
_cell_angle_alpha 90.00
_cell_angle_beta 90.00
_cell_angle_gamma 120.00
loop_
_atom_site_label
_atom_site_type_symbol
_atom_site_fract_x
_atom_site_fract_y
_atom_site_fract_z
_atom_site_occupancy
In1 In 0.0000 0.0000 0.0000 1
Rh1 Rh 0.0000 0.5000 0.0000 1
Pb1 Pb 0.0000 0.0000 0.5000 1
S1 S 0.0000 0.0000 0.2174 1
```

Calculated total energy: -119.6 eV/cell
Uncorrected formation energy: -445 meV per atom

Sm2In2Rh5Pb: optimized geometry, PBE-GGA.

Cell and atoms, written as CIF:
```
data_Sm2In2Rh5Pb
_symmetry_space_group_name_H-M 'P 4/m b m'
_symmetry_Int_Tables_number 127
_symmetry_space_group_name_Hall '-P 4 2ab'
_cell_length_a 10.210
_cell_length_b 10.210
_cell_length_c 3.799
_cell_angle_alpha 90.00
_cell_angle_beta 90.00
_cell_angle_gamma 90.00
loop_
_atom_site_label
_atom_site_type_symbol
_atom_site_fract_x
_atom_site_fract_y
_atom_site_fract_z
_atom_site_occupancy
Sm1 Sm 0.172 0.328 0.000 1
In1 In 0.126 0.626 0.000 1
Rh1 Rh 0.000 0.500 0.500 1
Rh2 Rh 0.065 0.799 0.500 1
Pb1 Pb 0.000 0.000 0.000 1
```

Calculated total energy: -119.3 eV/cell
DFT formation energy: -0.4287 eV/atom

SrInRhPb2: optimized geometry, PBE-GGA.

Cell and atoms, written as CIF:
```
data_SrInRhPb2
_symmetry_space_group_name_H-M 'P 4/m m m'
_symmetry_Int_Tables_number 123
_symmetry_space_group_name_Hall '-P 4 2'
_cell_length_a 5.365
_cell_length_b 5.365
_cell_length_c 5.233
_cell_angle_alpha 90.00
_cell_angle_beta 90.00
_cell_angle_gamma 90.00
loop_
_atom_site_label
_atom_site_type_symbol
_atom_site_fract_x
_atom_site_fract_y
_atom_site_fract_z
_atom_site_occupancy
Sr1 Sr 0.000 0.000 0.000 1
In1 In 0.500 0.500 0.000 1
Rh1 Rh 0.500 0.500 0.500 1
Pb1 Pb 0.000 0.500 0.500 1
```

Calculated total energy: -20.0 eV/cell
DFT formation energy: -0.1597 eV/atom

Sr2In2Rh5Pb: optimized geometry, PBE-GGA.

Cell and atoms, written as CIF:
```
data_Sr2In2Rh5Pb
_symmetry_space_group_name_H-M 'P 4/m b m'
_symmetry_Int_Tables_number 127
_symmetry_space_group_name_Hall '-P 4 2ab'
_cell_length_a 10.546
_cell_length_b 10.546
_cell_length_c 3.709
_cell_angle_alpha 90.00
_cell_angle_beta 90.00
_cell_angle_gamma 90.00
loop_
_atom_site_label
_atom_site_type_symbol
_atom_site_fract_x
_atom_site_fract_y
_atom_site_fract_z
_atom_site_occupancy
Sr1 Sr 0.172 0.328 0.000 1
In1 In 0.127 0.627 0.000 1
Rh1 Rh 0.000 0.500 0.500 1
Rh2 Rh 0.060 0.802 0.500 1
Pb1 Pb 0.000 0.000 0.000 1
```

Calculated total energy: -103.2 eV/cell
DFT formation energy: -0.2313 eV/atom

Sr2InRh4Pb3: optimized geometry, PBE-GGA.

Cell and atoms, written as CIF:
```
data_Sr2InRh4Pb3
_symmetry_space_group_name_H-M 'P -4 m 2'
_symmetry_Int_Tables_number 115
_symmetry_space_group_name_Hall 'P -4 -2'
_cell_length_a 4.616
_cell_length_b 4.616
_cell_length_c 11.222
_cell_angle_alpha 90.00
_cell_angle_beta 90.00
_cell_angle_gamma 90.00
loop_
_atom_site_label
_atom_site_type_symbol
_atom_site_fract_x
_atom_site_fract_y
_atom_site_fract_z
_atom_site_occupancy
Sr1 Sr 0.000 0.500 0.243 1
In1 In 0.000 0.000 0.500 1
Rh1 Rh 0.000 0.000 0.000 1
Rh2 Rh 0.000 0.500 0.632 1
Rh3 Rh 0.500 0.500 0.000 1
Pb1 Pb 0.000 0.500 0.872 1
Pb2 Pb 0.500 0.500 0.500 1
```

Calculated total energy: -50.2 eV/cell
DFT formation energy: -0.3535 eV/atom

TaInRhPb2: optimized geometry, PBE-GGA.

Cell and atoms, written as CIF:
```
data_TaInRhPb2
_symmetry_space_group_name_H-M 'P 4/m m m'
_symmetry_Int_Tables_number 123
_symmetry_space_group_name_Hall '-P 4 2'
_cell_length_a 5.456
_cell_length_b 5.456
_cell_length_c 4.835
_cell_angle_alpha 90.00
_cell_angle_beta 90.00
_cell_angle_gamma 90.00
loop_
_atom_site_label
_atom_site_type_symbol
_atom_site_fract_x
_atom_site_fract_y
_atom_site_fract_z
_atom_site_occupancy
Ta1 Ta 0.000 0.000 0.000 1
In1 In 0.500 0.500 0.500 1
Rh1 Rh 0.500 0.500 0.000 1
Pb1 Pb 0.000 0.500 0.500 1
```

Calculated total energy: -21.4 eV/cell
DFT formation energy: 1.5833 eV/atom

In2TcRhPb: optimized geometry, PBE-GGA.

Cell and atoms, written as CIF:
```
data_In2TcRhPb
_symmetry_space_group_name_H-M 'P 4/m m m'
_symmetry_Int_Tables_number 123
_symmetry_space_group_name_Hall '-P 4 2'
_cell_length_a 5.099
_cell_length_b 5.099
_cell_length_c 4.870
_cell_angle_alpha 90.00
_cell_angle_beta 90.00
_cell_angle_gamma 90.00
loop_
_atom_site_label
_atom_site_type_symbol
_atom_site_fract_x
_atom_site_fract_y
_atom_site_fract_z
_atom_site_occupancy
In1 In 0.000 0.500 0.000 1
Tc1 Tc 0.000 0.000 0.500 1
Rh1 Rh 0.000 0.000 0.000 1
Pb1 Pb 0.500 0.500 0.500 1
```

Calculated total energy: -23.9 eV/cell
DFT formation energy: 0.5998 eV/atom

InTeRhPb2: optimized geometry, PBE-GGA.

Cell and atoms, written as CIF:
```
data_InTeRhPb2
_symmetry_space_group_name_H-M 'P 4/m m m'
_symmetry_Int_Tables_number 123
_symmetry_space_group_name_Hall '-P 4 2'
_cell_length_a 5.315
_cell_length_b 5.315
_cell_length_c 5.189
_cell_angle_alpha 90.00
_cell_angle_beta 90.00
_cell_angle_gamma 90.00
loop_
_atom_site_label
_atom_site_type_symbol
_atom_site_fract_x
_atom_site_fract_y
_atom_site_fract_z
_atom_site_occupancy
In1 In 0.000 0.000 0.000 1
Te1 Te 0.500 0.500 0.000 1
Rh1 Rh 0.000 0.000 0.500 1
Pb1 Pb 0.000 0.500 0.500 1
```

Calculated total energy: -21.5 eV/cell
Uncorrected formation energy: -178 meV per atom

TlInRhPb2: optimized geometry, PBE-GGA.

Cell and atoms, written as CIF:
```
data_TlInRhPb2
_symmetry_space_group_name_H-M 'P 4/m m m'
_symmetry_Int_Tables_number 123
_symmetry_space_group_name_Hall '-P 4 2'
_cell_length_a 5.332
_cell_length_b 5.332
_cell_length_c 5.202
_cell_angle_alpha 90.00
_cell_angle_beta 90.00
_cell_angle_gamma 90.00
loop_
_atom_site_label
_atom_site_type_symbol
_atom_site_fract_x
_atom_site_fract_y
_atom_site_fract_z
_atom_site_occupancy
Tl1 Tl 0.000 0.000 0.000 1
In1 In 0.500 0.500 0.000 1
Rh1 Rh 0.500 0.500 0.500 1
Pb1 Pb 0.000 0.500 0.500 1
```

Calculated total energy: -19.7 eV/cell
DFT formation energy: 0.0288 eV/atom

YIn2RhPb: optimized geometry, PBE-GGA.

Cell and atoms, written as CIF:
```
data_YIn2RhPb
_symmetry_space_group_name_H-M 'P 4/m m m'
_symmetry_Int_Tables_number 123
_symmetry_space_group_name_Hall '-P 4 2'
_cell_length_a 5.148
_cell_length_b 5.148
_cell_length_c 5.251
_cell_angle_alpha 90.00
_cell_angle_beta 90.00
_cell_angle_gamma 90.00
loop_
_atom_site_label
_atom_site_type_symbol
_atom_site_fract_x
_atom_site_fract_y
_atom_site_fract_z
_atom_site_occupancy
Y1 Y 0.000 0.000 0.000 1
In1 In 0.000 0.500 0.500 1
Rh1 Rh 0.000 0.000 0.500 1
Pb1 Pb 0.500 0.500 0.000 1
```

Calculated total energy: -24.5 eV/cell
DFT formation energy: -0.2976 eV/atom

ZrIn2RhPb: optimized geometry, PBE-GGA.

Cell and atoms, written as CIF:
```
data_ZrIn2RhPb
_symmetry_space_group_name_H-M 'P 4/m m m'
_symmetry_Int_Tables_number 123
_symmetry_space_group_name_Hall '-P 4 2'
_cell_length_a 5.116
_cell_length_b 5.116
_cell_length_c 5.046
_cell_angle_alpha 90.00
_cell_angle_beta 90.00
_cell_angle_gamma 90.00
loop_
_atom_site_label
_atom_site_type_symbol
_atom_site_fract_x
_atom_site_fract_y
_atom_site_fract_z
_atom_site_occupancy
Zr1 Zr 0.000 0.000 0.000 1
In1 In 0.000 0.500 0.500 1
Rh1 Rh 0.000 0.000 0.500 1
Pb1 Pb 0.500 0.500 0.000 1
```

Calculated total energy: -25.2 eV/cell
DFT formation energy: -0.0234 eV/atom

InRuPb2: optimized geometry, PBE-GGA.

Cell and atoms, written as CIF:
```
data_InRuPb2
_symmetry_space_group_name_H-M 'I 4/m m m'
_symmetry_Int_Tables_number 139
_symmetry_space_group_name_Hall '-I 4 2'
_cell_length_a 4.673
_cell_length_b 4.673
_cell_length_c 8.559
_cell_angle_alpha 90.00
_cell_angle_beta 90.00
_cell_angle_gamma 90.00
loop_
_atom_site_label
_atom_site_type_symbol
_atom_site_fract_x
_atom_site_fract_y
_atom_site_fract_z
_atom_site_occupancy
In1 In 0.000 0.000 0.000 1
Ru1 Ru 0.000 0.000 0.500 1
Pb1 Pb 0.000 0.500 0.250 1
```

Calculated total energy: -34.8 eV/cell
DFT formation energy: 0.5131 eV/atom